Entry 1:
VASP calculation (PBE-GGA) on an optimized crystal structure of AsSO5.

Cell and atoms, written as POSCAR:
```
AsSO5
1.0
4.923 -0.299 -1.561
-1.119 5.193 -1.678
0.244 0.084 6.983
As S O
2 2 10
Direct
0.500 0.000 0.000
0.500 0.000 0.500
0.841 0.665 0.258
0.159 0.335 0.742
0.819 0.819 0.116
0.120 0.768 0.433
0.405 0.060 0.266
0.622 0.681 0.364
0.378 0.319 0.636
0.810 0.390 0.140
0.190 0.610 0.860
0.595 0.940 0.734
0.880 0.232 0.567
0.181 0.181 0.884
```

Properties
Formation energy without anion corrections ... -7.372 eV/f.u.
Energy ... -5.85 eV per atom
Symmetry ... P-1 (2)

=====

Entry 2:
VASP calculation (PBE-GGA) on an optimized crystal structure of AsS2O.

Cell and atoms, written as POSCAR:
```
AsS2O
1.0
2.063 0.000 6.672
-1.032 1.787 6.672
-1.032 -1.787 6.672
As S O
1 2 1
Direct
0.500 0.500 0.500
0.911 0.911 0.911
0.089 0.089 0.089
0.000 0.000 0.000
```

Properties
Formation energy without anion corrections ... 0.874 eV/f.u.
Energy ... -4.25 eV per atom
Polymorph energy (0 for the lowest one) ... 0 meV per atom
Symmetry ... R-3m (166)

=====

Entry 3:
VASP calculation (PBE-GGA) on an optimized crystal structure of AsS2O.

Cell and atoms, written as POSCAR:
```
AsS2O
1.0
1.663 0.000 8.224
-0.831 1.440 8.224
-0.831 -1.440 8.224
As S O
1 2 1
Direct
0.000 0.000 0.000
0.899 0.899 0.899
0.101 0.101 0.101
0.500 0.500 0.500
```

Properties
Formation energy without anion corrections ... 3.369 eV/f.u.
Energy ... -3.62 eV per atom
Polymorph energy (0 for the lowest one) ... 624 meV per atom
Symmetry ... R-3m (166)

=====

Entry 4:
VASP calculation (PBE-GGA) on an optimized crystal structure of AsSO3.

Cell and atoms, written as POSCAR:
```
AsSO3
1.0
-2.457 -0.747 -2.760
-2.445 -1.338 2.538
-1.482 3.444 0.387
As S O
1 1 3
Direct
0.500 0.500 0.500
0.000 0.000 0.000
0.000 0.500 0.000
0.000 0.000 0.500
0.500 0.000 0.000
```

Properties
Formation energy without anion corrections ... 1.228 eV/f.u.
Energy ... -4.48 eV per atom
Symmetry ... Pm-3m (221)

=====

Entry 5:
VASP calculation (PBE-GGA) on an optimized crystal structure of AsS2O.

Cell and atoms, written as POSCAR:
```
AsS2O
1.0
-0.460 -0.778 4.195
-2.777 -2.986 1.336
1.445 -3.679 1.671
As S O
1 2 1
Direct
0.500 0.500 0.500
0.250 0.250 0.250
0.750 0.750 0.750
0.000 0.000 0.000
```

Properties
Formation energy without anion corrections ... 3.250 eV/f.u.
Energy ... -3.65 eV per atom
Polymorph energy (0 for the lowest one) ... 594 meV per atom
Symmetry ... Fm-3m (225)

=====

Entry 6:
VASP calculation (PBE-GGA) on an optimized crystal structure of As2SO2.

Cell and atoms, written as POSCAR:
```
As2SO2
1.0
7.532 0.000 0.000
0.000 7.532 0.000
0.000 0.000 2.909
As S O
4 2 4
Direct
0.262 0.762 0.000
0.762 0.738 0.000
0.738 0.238 0.000
0.238 0.262 0.000
0.000 0.000 0.000
0.500 0.500 0.000
0.152 0.652 0.500
0.652 0.848 0.500
0.848 0.348 0.500
0.348 0.152 0.500
```

Properties
Formation energy without anion corrections ... -2.500 eV/f.u.
Energy ... -5.17 eV per atom
Symmetry ... P4/mbm (127)

=====

Entry 7:
VASP calculation (PBE-GGA) on an optimized crystal structure of As3SO.

Cell and atoms, written as POSCAR:
```
As3SO
1.0
-0.280 -4.244 1.254
3.032 -1.099 -3.043
3.224 0.665 2.972
As S O
3 1 1
Direct
0.000 0.500 0.000
0.000 0.000 0.500
0.500 0.000 0.000
0.500 0.500 0.500
0.000 0.000 0.000
```

Properties
Formation energy without anion corrections ... 3.001 eV/f.u.
Energy ... -4.01 eV per atom
Polymorph energy (0 for the lowest one) ... 0 meV per atom
Symmetry ... Pm-3m (221)

=====

Entry 8:
VASP calculation (PBE-GGA) on an optimized crystal structure of AsS3O.

Cell and atoms, written as POSCAR:
```
AsS3O
1.0
-4.420 1.074 -1.019
0.641 -1.505 -4.365
-1.335 -4.279 1.279
As S O
1 3 1
Direct
0.000 0.000 0.000
0.000 0.500 0.000
0.000 0.000 0.500
0.500 0.000 0.000
0.500 0.500 0.500
```

Properties
Formation energy without anion corrections ... 6.749 eV/f.u.
Energy ... -3.05 eV per atom
Polymorph energy (0 for the lowest one) ... 472 meV per atom
Symmetry ... Pm-3m (221)

=====

Entry 9:
VASP calculation (PBE-GGA) on an optimized crystal structure of As3SO.

Cell and atoms, written as POSCAR:
```
As3SO
1.0
4.742 0.000 0.000
0.000 4.742 0.000
0.000 0.000 4.742
As S O
3 1 1
Direct
0.000 0.500 0.000
0.000 0.000 0.500
0.500 0.000 0.000
0.000 0.000 0.000
0.500 0.500 0.500
```

Properties
Formation energy without anion corrections ... 6.183 eV/f.u.
Energy ... -3.37 eV per atom
Polymorph energy (0 for the lowest one) ... 637 meV per atom
Symmetry ... Pm-3m (221)

=====

Entry 10:
VASP calculation (PBE-GGA) on an optimized crystal structure of AsS2O.

Cell and atoms, written as POSCAR:
```
AsS2O
1.0
6.120 0.000 0.000
0.000 6.120 0.000
3.060 3.060 3.599
As S O
2 4 2
Direct
0.000 0.000 0.000
0.750 0.250 0.500
0.605 0.125 0.250
0.145 0.625 0.250
0.375 0.395 0.750
0.875 0.855 0.750
0.500 0.500 0.000
0.250 0.750 0.500
```

Properties
Formation energy without anion corrections ... 2.170 eV/f.u.
Energy ... -3.92 eV per atom
Polymorph energy (0 for the lowest one) ... 324 meV per atom
Symmetry ... I-42d (122)

=====

Entry 11:
VASP calculation (PBE-GGA) on an optimized crystal structure of AsS6O2.

Cell and atoms, written as POSCAR:
```
AsS6O2
1.0
23.500 0.000 -9.973
0.000 9.536 0.000
-10.882 0.000 6.672
As S O
2 12 4
Direct
0.500 0.500 0.000
0.000 0.000 0.500
0.850 0.802 0.335
0.036 0.633 0.973
0.125 0.797 0.256
0.375 0.297 0.244
0.464 0.133 0.527
0.650 0.302 0.165
0.150 0.198 0.665
0.964 0.367 0.027
0.875 0.203 0.744
0.625 0.703 0.756
0.536 0.867 0.473
0.350 0.698 0.835
0.930 0.371 0.653
0.570 0.871 0.847
0.430 0.129 0.153
0.070 0.629 0.347
```

Properties
Formation energy without anion corrections ... -1.222 eV/f.u.
Energy ... -4.51 eV per atom
Symmetry ... P2_1/c (14)

=====

Entry 12:
VASP calculation (PBE-GGA) on an optimized crystal structure of AsS3O.

Cell and atoms, written as POSCAR:
```
AsS3O
1.0
-2.085 -2.449 2.800
0.783 -3.427 -2.414
3.637 -0.666 2.125
As S O
1 3 1
Direct
0.500 0.500 0.500
0.000 0.500 0.000
0.000 0.000 0.500
0.500 0.000 0.000
0.000 0.000 0.000
```

Properties
Formation energy without anion corrections ... 4.390 eV/f.u.
Energy ... -3.52 eV per atom
Polymorph energy (0 for the lowest one) ... 0 meV per atom
Symmetry ... Pm-3m (221)

=====

- The lowest energy belongs to which entry?
  AsSO5